No. 1
# ScReRuW (PBE, optimized geometry)
data_ScReRuW
_cell_length_a 6.3255
_cell_length_b 6.3255
_cell_length_c 6.3255
_cell_angle_alpha 90.00
_cell_angle_beta 90.00
_cell_angle_gamma 90.00
_space_group_name_H-M_alt 'F -4 3 m'
_space_group_IT_number 216
_space_group_name_Hall 'F -4 2 3'
loop_
_atom_site_label
_atom_site_type_symbol
_atom_site_fract_x
_atom_site_fract_y
_atom_site_fract_z
Sc1 Sc 0.0000 0.0000 0.0000
Re1 Re 0.2500 0.2500 0.2500
Ru1 Ru 0.2500 0.2500 0.7500
W1 W 0.0000 0.0000 0.5000
# * DOS(E_F): 5.3 states/eV per cell
# * V: 15.82 A^3/atom
# * total moment: 0.0 μB per cell
# * ΔH_f (0 K): -24 kJ per mole of atoms



No. 2
# Cd2PbW (PBE, optimized geometry)
data_Cd2PbW
_cell_length_a 5.8705
_cell_length_b 9.3147
_cell_length_c 3.0725
_cell_angle_alpha 90.00
_cell_angle_beta 90.00
_cell_angle_gamma 90.00
_space_group_name_H-M_alt 'C m m m'
_space_group_IT_number 65
_space_group_name_Hall '-C 2 2'
loop_
_atom_site_label
_atom_site_type_symbol
_atom_site_fract_x
_atom_site_fract_y
_atom_site_fract_z
Cd1 Cd 0.2500 0.2500 0.0000
Pb1 Pb 0.0000 0.0000 0.5000
W1 W 0.0000 0.5000 0.5000
# * DOS(E_F): 3.4 states/eV per cell
# * V: 21.00 A^3/atom
# * total moment: 0.0 μB per cell
# * ΔH_f (0 K): 68 kJ per mole of atoms



No. 3
# KLaTe4 (PBE, optimized geometry)
data_KLaTe4
_cell_length_a 6.9945
_cell_length_b 6.9945
_cell_length_c 9.0745
_cell_angle_alpha 90.00
_cell_angle_beta 90.00
_cell_angle_gamma 90.00
_space_group_name_H-M_alt 'P 4/n b m'
_space_group_IT_number 125
loop_
_space_group_symop_operation_xyz
'x,y,z'
'-x,-y,-z'
'-y+1/2,x,z'
'y+1/2,-x,-z'
'-x+1/2,-y+1/2,z'
'x+1/2,y+1/2,-z'
'y,-x+1/2,z'
'-y,x+1/2,-z'
'x,-y+1/2,-z'
'-x,y+1/2,z'
'-y+1/2,-x+1/2,-z'
'y+1/2,x+1/2,z'
'-x+1/2,y,-z'
'x+1/2,-y,z'
'y,x,-z'
'-y,-x,z'
loop_
_atom_site_label
_atom_site_type_symbol
_atom_site_fract_x
_atom_site_fract_y
_atom_site_fract_z
K1 K 0.2500 0.2500 0.0000
La1 La 0.2500 0.2500 0.5000
Te1 Te 0.1070 0.6070 0.2826
# * formation energy from raw total energies: -1.009 eV/atom
# * V: 37.00 A^3/atom
# * energy above the lowest structure with this stoichiometry: 0 meV/atom
# * total moment: 0.0 μB per cell



No. 4
# Hg4Pb5Au4 (PBE, optimized geometry)
data_Hg4Pb5Au4
_cell_length_a 12.1585
_cell_length_b 12.1585
_cell_length_c 4.4941
_cell_angle_alpha 90.00
_cell_angle_beta 90.00
_cell_angle_gamma 90.00
_space_group_name_H-M_alt 'I 4/m'
_space_group_IT_number 87
_space_group_name_Hall '-I 4'
loop_
_atom_site_label
_atom_site_type_symbol
_atom_site_fract_x
_atom_site_fract_y
_atom_site_fract_z
Hg1 Hg 0.0942 0.6014 0.0000
Pb1 Pb 0.0000 0.0000 0.5000
Pb2 Pb 0.1234 0.1962 0.0000
Au1 Au 0.0773 0.7586 0.5000
# * DOS(E_F): 12.4 states/eV per cell
# * V: 25.55 A^3/atom
# * total moment: 0.0 μB per cell
# * ΔH_f (0 K): -2 kJ per mole of atoms



No. 5
# NaFeIr (PBE, optimized geometry)
data_NaFeIr
_cell_length_a 3.8349
_cell_length_b 13.2613
_cell_length_c 3.8178
_cell_angle_alpha 90.00
_cell_angle_beta 90.00
_cell_angle_gamma 90.00
_space_group_name_H-M_alt 'C m m m'
_space_group_IT_number 65
_space_group_name_Hall '-C 2 2'
loop_
_atom_site_label
_atom_site_type_symbol
_atom_site_fract_x
_atom_site_fract_y
_atom_site_fract_z
Na1 Na 0.0000 0.0000 0.0000
Na2 Na 0.0000 0.5000 0.5000
Fe1 Fe 0.0000 0.1972 0.5000
Ir1 Ir 0.0000 0.3143 0.0000
# * DOS(E_F): 8.7 states/eV per cell
# * V: 16.18 A^3/atom
# * energy above the lowest structure with this stoichiometry: 154 meV/atom
# * total moment: 6.3 μB per cell
# * ΔH_f (0 K): 40 kJ per mole of atoms



No. 6
# AgSe (PBE, optimized geometry)
data_AgSe
_cell_length_a 7.4127
_cell_length_b 7.4127
_cell_length_c 4.1080
_cell_angle_alpha 90.00
_cell_angle_beta 90.00
_cell_angle_gamma 90.00
_space_group_name_H-M_alt 'P 42/m n m'
_space_group_IT_number 136
_space_group_name_Hall '-P 4n 2n'
loop_
_atom_site_label
_atom_site_type_symbol
_atom_site_fract_x
_atom_site_fract_y
_atom_site_fract_z
Ag1 Ag 0.1903 0.1903 0.0000
Se1 Se 0.1622 0.8378 0.0000
# * formation energy from raw total energies: 0.120 eV/atom
# * DOS(E_F): 7.4 states/eV per cell
# * V: 28.22 A^3/atom
# * total moment: 0.0 μB per cell



Which of these has the lowest V?
ScReRuW



The highest total moment belongs to which entry?
NaFeIr



What is the total moment in the second record?
0.0 μB per cell



total moment of number 4 (Hg4Pb5Au4)?
0.0 μB per cell